Record 1
Entry from OQMD via LeMat-Bulk: a geometry-optimized Ho3Co structure (PBE).

## Properties
Formation energy from the elements ... -17.0 kJ per mole of atoms
V ... 24.90 A^3/atom
Total magnetic moment ... 0.0 μB/f.u.
Mass density ... 9.2 Mg/m³

```
data_Ho3Co
_chemical_formula_sum 'Ho12 Co4'
_cell_length_a 6.895
_cell_length_b 9.347
_cell_length_c 6.183
_cell_angle_alpha 90.00
_cell_angle_beta 90.00
_cell_angle_gamma 90.00
_symmetry_space_group_name_H-M 'P 1'
_symmetry_Int_Tables_number 1
loop_
_symmetry_equiv_pos_as_xyz
'x,y,z'
loop_
_atom_site_label
_atom_site_fract_x
_atom_site_fract_y
_atom_site_fract_z
Ho1 0.325 0.567 0.676
Ho2 0.175 0.067 0.176
Ho3 0.675 0.067 0.324
Ho4 0.543 0.250 0.859
Co1 0.387 0.250 0.452
Co2 0.613 0.750 0.548
Ho5 0.825 0.567 0.824
Ho6 0.325 0.933 0.676
Ho7 0.043 0.250 0.641
Ho8 0.957 0.750 0.359
Co3 0.113 0.750 0.952
Ho9 0.175 0.433 0.176
Ho10 0.457 0.750 0.141
Ho11 0.675 0.433 0.324
Ho12 0.825 0.933 0.824
Co4 0.887 0.250 0.048
```



Record 2
Entry from OQMD via LeMat-Bulk: a geometry-optimized Nd2Sm2C2IBr2Cl2 structure (PBE).

## Properties
V ... 28.01 A^3/atom
Total magnetic moment ... 0.0 μB/f.u.
Relative energy among the computed polymorphs ... 18 meV per atom
Mass density ... 5.2 Mg/m³

```
data_Nd2Sm2C2IBr2Cl2
_chemical_formula_sum 'Nd2 Sm2 C2 I1 Br2 Cl2'
_cell_length_a 9.844
_cell_length_b 9.844
_cell_length_c 8.461
_cell_angle_alpha 105.29
_cell_angle_beta 105.29
_cell_angle_gamma 22.96
_symmetry_space_group_name_H-M 'P 1'
_symmetry_Int_Tables_number 1
loop_
_symmetry_equiv_pos_as_xyz
'x,y,z'
loop_
_atom_site_label
_atom_site_fract_x
_atom_site_fract_y
_atom_site_fract_z
Nd1 0.341 0.341 0.393
Br1 0.166 0.166 0.339
Nd2 0.659 0.659 0.607
C1 0.462 0.462 0.476
I1 0.500 0.500 0.000
Sm1 0.002 0.002 0.692
Cl1 0.157 0.157 0.848
Br2 0.834 0.834 0.661
Sm2 0.998 0.998 0.308
Cl2 0.843 0.843 0.152
C2 0.538 0.538 0.524
```



Record 3
Entry from OQMD via LeMat-Bulk: a geometry-optimized Pm2Zr structure (PBE).

## Properties
Formation energy from the elements ... 55.9 kJ per mole of atoms
V ... 30.14 A^3/atom
Total magnetic moment ... 1.4 μB/f.u.
Relative energy among the computed polymorphs ... 0 meV per atom
Mass density ... 7.0 Mg/m³

```
data_Pm2Zr
_chemical_formula_sum 'Pm4 Zr2'
_cell_length_a 6.347
_cell_length_b 6.347
_cell_length_c 6.347
_cell_angle_alpha 60.00
_cell_angle_beta 60.00
_cell_angle_gamma 60.00
_symmetry_space_group_name_H-M 'P 1'
_symmetry_Int_Tables_number 1
loop_
_symmetry_equiv_pos_as_xyz
'x,y,z'
loop_
_atom_site_label
_atom_site_fract_x
_atom_site_fract_y
_atom_site_fract_z
Zr1 0.250 0.250 0.250
Pm1 0.125 0.625 0.625
Zr2 0.000 0.000 0.000
Pm2 0.625 0.625 0.625
Pm3 0.625 0.125 0.625
Pm4 0.625 0.625 0.125
```



Among the records above, which one has the lowest mass density?
Nd2Sm2C2IBr2Cl2



What is the total magnetic moment in the third record?
1.4 μB/f.u.



What is the total magnetic moment in the second record?
0.0 μB/f.u.



Look up the total magnetic moment of the third one.
1.4 μB/f.u.